Entry 1:
The following is a DFT calculation (PBE-GGA) of Ta2C after structural relaxation.

Lattice parameters (Å, degrees): 4.921 5.529 3.080 90.00 90.00 90.00
Space group Pnnm (No. 58)
Unique sites:
Ta (0.242, 0.156, 0.000) [4 per cell]
C (0.000, 0.500, 0.000) [2 per cell]

energy	-34.635	eV per formula unit
formation energy	-0.57	eV/atom
crystal system	orthorhombic

Entry 2:
The following is a DFT calculation (PBE-GGA) of Ta2C after structural relaxation.

Lattice parameters (Å, degrees): 3.521 3.521 28.206 90.00 90.00 90.00
Space group I4_1/amd (No. 141, origin choice 2)
Unique sites:
Ta (0.000, 0.250, 0.124) [8 per cell]
Ta (0.000, 0.250, 0.792) [8 per cell]
C (0.000, 0.250, 0.315) [8 per cell]

energy	-30.641	eV per formula unit
formation energy	0.76	eV/atom
crystal system	tetragonal

In order of appearance, Fermi-level density of states = 0.30 0.54 states/eV/atom.